[1]
Entry from the Alexandria database: a relaxed AlAsRhBr2 crystal (PBE-GGA).

- ΔE_f (raw): 4.12 kcal/mol of atoms
- D(E_F): 2.2 states/eV/f.u.
- Energy: -3.64 eV per atom
- Density: 4.54 Mg/m³
- Symmetry: P4/mmm, No. 123
- M_tot: 0.0 μB per formula unit

CIF file:
```
data_AlAsRhBr2
_cell_length_a 5.378
_cell_length_b 5.378
_cell_length_c 4.615
_cell_angle_alpha 90.00
_cell_angle_beta 90.00
_cell_angle_gamma 90.00
_space_group_name_H-M_alt 'P 1'
_space_group_IT_number 1
_space_group_name_Hall 'P 1'
loop_
_atom_site_label
_atom_site_type_symbol
_atom_site_fract_x
_atom_site_fract_y
_atom_site_fract_z
Rh1 Rh 0.000 0.000 0.000
Br1 Br 0.000 0.500 0.000
Br2 Br 0.500 0.000 0.000
As1 As 0.000 0.000 0.500
Al1 Al 0.500 0.500 0.500
```

[2]
Entry from the Alexandria database: a relaxed SrCoSe2 crystal (PBE-GGA).

- ΔE_f (raw): -18.15 kcal/mol of atoms
- D(E_F): 3.7 states/eV/f.u.
- Energy: -4.73 eV per atom
- Density: 4.46 Mg/m³
- Symmetry: Cm, No. 8
- M_tot: 2.3 μB per formula unit

CIF file:
```
data_SrCoSe2
_cell_length_a 6.344
_cell_length_b 6.344
_cell_length_c 4.710
_cell_angle_alpha 98.70
_cell_angle_beta 98.70
_cell_angle_gamma 37.30
_space_group_name_H-M_alt 'P 1'
_space_group_IT_number 1
_space_group_name_Hall 'P 1'
loop_
_atom_site_label
_atom_site_type_symbol
_atom_site_fract_x
_atom_site_fract_y
_atom_site_fract_z
Co1 Co 0.203 0.203 0.333
Se1 Se 0.772 0.772 0.510
Se2 Se 0.023 0.023 0.081
Sr1 Sr 0.502 0.502 0.575
```

[3]
Entry from the Alexandria database: a relaxed Zn3IrRh crystal (PBE-GGA).

- D(E_F): 4.4 states/eV/f.u.
- Energy: -3.32 eV per atom
- Density: 7.93 Mg/m³
- Symmetry: Pm-3m, No. 221
- M_tot: 0.4 μB per formula unit
- Energy of formation: 66.5 kJ per mole of atoms

CIF file:
```
data_Zn3IrRh
_cell_length_a 4.685
_cell_length_b 4.685
_cell_length_c 4.685
_cell_angle_alpha 90.00
_cell_angle_beta 90.00
_cell_angle_gamma 90.00
_space_group_name_H-M_alt 'P 1'
_space_group_IT_number 1
_space_group_name_Hall 'P 1'
loop_
_atom_site_label
_atom_site_type_symbol
_atom_site_fract_x
_atom_site_fract_y
_atom_site_fract_z
Zn1 Zn 0.500 0.000 0.000
Zn2 Zn 0.000 0.000 0.500
Zn3 Zn 0.000 0.500 0.000
Rh1 Rh 0.500 0.500 0.500
Ir1 Ir 0.000 0.000 0.000
```

[4]
Entry from the Alexandria database: a relaxed TbPr2Sm4Tm crystal (PBE-GGA).

- D(E_F): 19.8 states/eV/f.u.
- Energy: -4.30 eV per atom
- Density: 7.31 Mg/m³
- Symmetry: C2/c, No. 15
- M_tot: 0.0 μB per formula unit
- Energy of formation: 37.8 kJ per mole of atoms

CIF file:
```
data_TbPr2Sm4Tm
_cell_length_a 9.598
_cell_length_b 9.598
_cell_length_c 11.936
_cell_angle_alpha 128.39
_cell_angle_beta 128.40
_cell_angle_gamma 88.29
_space_group_name_H-M_alt 'P 1'
_space_group_IT_number 1
_space_group_name_Hall 'P 1'
loop_
_atom_site_label
_atom_site_type_symbol
_atom_site_fract_x
_atom_site_fract_y
_atom_site_fract_z
Pr1 Pr 0.500 0.000 0.500
Pr2 Pr 0.500 0.500 0.000
Pr3 Pr 0.500 0.000 0.000
Pr4 Pr 0.000 0.000 0.500
Sm1 Sm 0.234 0.238 0.481
Sm2 Sm 0.243 0.757 0.998
Sm3 Sm 0.757 0.243 0.002
Sm4 Sm 0.743 0.257 0.502
Sm5 Sm 0.766 0.762 0.519
Sm6 Sm 0.257 0.743 0.498
Sm7 Sm 0.738 0.734 0.981
Sm8 Sm 0.262 0.266 0.019
Tb1 Tb 0.000 0.500 0.000
Tb2 Tb 0.000 0.500 0.500
Tm1 Tm 0.500 0.500 0.500
Tm2 Tm 0.000 0.000 0.000
```

[5]
Entry from the Alexandria database: a relaxed Cs2LiHgO crystal (PBE-GGA).

- ΔE_f (raw): -17.18 kcal/mol of atoms
- D(E_F): 2.5 states/eV/f.u.
- Energy: -2.52 eV per atom
- Density: 5.02 Mg/m³
- Symmetry: P4/mmm, No. 123
- M_tot: 0.0 μB per formula unit

CIF file:
```
data_Cs2LiHgO
_cell_length_a 6.518
_cell_length_b 6.518
_cell_length_c 3.809
_cell_angle_alpha 90.00
_cell_angle_beta 90.00
_cell_angle_gamma 90.00
_space_group_name_H-M_alt 'P 1'
_space_group_IT_number 1
_space_group_name_Hall 'P 1'
loop_
_atom_site_label
_atom_site_type_symbol
_atom_site_fract_x
_atom_site_fract_y
_atom_site_fract_z
Li1 Li 0.000 0.000 0.500
Hg1 Hg 0.500 0.500 0.500
Cs1 Cs 0.000 0.500 0.000
Cs2 Cs 0.500 0.000 0.000
O1 O 0.000 0.000 0.000
```

[6]
Entry from the Alexandria database: a relaxed K2Y2Pd crystal (PBE-GGA).

- D(E_F): 5.3 states/eV/f.u.
- Energy: -3.42 eV per atom
- Density: 3.54 Mg/m³
- Symmetry: P4/mbm, No. 127
- M_tot: 0.0 μB per formula unit
- Energy of formation: 62.0 kJ per mole of atoms

CIF file:
```
data_K2Y2Pd
_cell_length_a 7.378
_cell_length_b 7.378
_cell_length_c 6.246
_cell_angle_alpha 90.00
_cell_angle_beta 90.00
_cell_angle_gamma 90.00
_space_group_name_H-M_alt 'P 1'
_space_group_IT_number 1
_space_group_name_Hall 'P 1'
loop_
_atom_site_label
_atom_site_type_symbol
_atom_site_fract_x
_atom_site_fract_y
_atom_site_fract_z
Y1 Y 0.184 0.684 0.500
Y2 Y 0.684 0.816 0.500
Y3 Y 0.316 0.184 0.500
Y4 Y 0.816 0.316 0.500
K1 K 0.858 0.642 0.000
K2 K 0.142 0.358 0.000
K3 K 0.642 0.142 0.000
K4 K 0.358 0.858 0.000
Pd1 Pd 0.500 0.500 0.000
Pd2 Pd 0.000 0.000 0.000
```

[7]
Entry from the Alexandria database: a relaxed Tl4ZnPb crystal (PBE-GGA).

- D(E_F): 3.4 states/eV/f.u.
- Energy: -2.17 eV per atom
- Density: 9.63 Mg/m³
- Symmetry: F-43m, No. 216
- M_tot: 0.0 μB per formula unit
- Energy of formation: 22.6 kJ per mole of atoms

CIF file:
```
data_Tl4ZnPb
_cell_length_a 6.430
_cell_length_b 6.430
_cell_length_c 6.430
_cell_angle_alpha 60.00
_cell_angle_beta 60.00
_cell_angle_gamma 60.00
_space_group_name_H-M_alt 'P 1'
_space_group_IT_number 1
_space_group_name_Hall 'P 1'
loop_
_atom_site_label
_atom_site_type_symbol
_atom_site_fract_x
_atom_site_fract_y
_atom_site_fract_z
Tl1 Tl 0.875 0.375 0.375
Tl2 Tl 0.375 0.375 0.875
Tl3 Tl 0.375 0.375 0.375
Tl4 Tl 0.375 0.875 0.375
Pb1 Pb 0.000 0.000 0.000
Zn1 Zn 0.750 0.750 0.750
```

[8]
Entry from the Alexandria database: a relaxed Li4CuCl crystal (PBE-GGA).

- ΔE_f (raw): 0.54 kcal/mol of atoms
- D(E_F): 2.5 states/eV/f.u.
- Energy: -2.24 eV per atom
- Density: 1.87 Mg/m³
- Symmetry: F-43m, No. 216
- M_tot: 0.6 μB per formula unit

CIF file:
```
data_Li4CuCl
_cell_length_a 5.417
_cell_length_b 5.417
_cell_length_c 5.417
_cell_angle_alpha 60.00
_cell_angle_beta 60.00
_cell_angle_gamma 60.00
_space_group_name_H-M_alt 'P 1'
_space_group_IT_number 1
_space_group_name_Hall 'P 1'
loop_
_atom_site_label
_atom_site_type_symbol
_atom_site_fract_x
_atom_site_fract_y
_atom_site_fract_z
Li1 Li 0.374 0.876 0.374
Li2 Li 0.374 0.374 0.876
Li3 Li 0.374 0.374 0.374
Li4 Li 0.876 0.374 0.374
Cl1 Cl 0.750 0.750 0.750
Cu1 Cu 0.000 0.000 0.000
```

[9]
Entry from the Alexandria database: a relaxed ThSc4In5 crystal (PBE-GGA).

- D(E_F): 8.6 states/eV/f.u.
- Energy: -5.04 eV per atom
- Density: 6.88 Mg/m³
- Symmetry: Pmmm, No. 47
- M_tot: 1.6 μB per formula unit
- Energy of formation: -38.1 kJ per mole of atoms

CIF file:
```
data_ThSc4In5
_cell_length_a 3.256
_cell_length_b 4.385
_cell_length_c 16.666
_cell_angle_alpha 90.00
_cell_angle_beta 90.00
_cell_angle_gamma 90.00
_space_group_name_H-M_alt 'P 1'
_space_group_IT_number 1
_space_group_name_Hall 'P 1'
loop_
_atom_site_label
_atom_site_type_symbol
_atom_site_fract_x
_atom_site_fract_y
_atom_site_fract_z
In1 In 0.500 0.500 0.308
In2 In 0.500 0.500 0.500
In3 In 0.500 0.500 0.120
In4 In 0.500 0.500 0.692
In5 In 0.500 0.500 0.880
Sc1 Sc 0.000 0.000 0.405
Sc2 Sc 0.000 0.000 0.213
Sc3 Sc 0.000 0.000 0.595
Sc4 Sc 0.000 0.000 0.787
Th1 Th 0.000 0.000 0.000
```

[10]
Entry from the Alexandria database: a relaxed Zn2Pb crystal (PBE-GGA).

- D(E_F): 1.0 states/eV/f.u.
- Energy: -1.95 eV per atom
- Density: 8.60 Mg/m³
- Symmetry: Cm, No. 8
- M_tot: 0.0 μB per formula unit
- Energy of formation: 13.5 kJ per mole of atoms

CIF file:
```
data_Zn2Pb
_cell_length_a 5.481
_cell_length_b 5.481
_cell_length_c 7.487
_cell_angle_alpha 85.65
_cell_angle_beta 85.65
_cell_angle_gamma 35.61
_space_group_name_H-M_alt 'P 1'
_space_group_IT_number 1
_space_group_name_Hall 'P 1'
loop_
_atom_site_label
_atom_site_type_symbol
_atom_site_fract_x
_atom_site_fract_y
_atom_site_fract_z
Zn1 Zn 0.556 0.556 0.382
Zn2 Zn 0.318 0.318 0.858
Zn3 Zn 0.676 0.676 0.671
Zn4 Zn 0.949 0.949 0.625
Pb1 Pb 0.292 0.292 0.285
Pb2 Pb 0.043 0.043 0.013
```

[11]
Entry from the Alexandria database: a relaxed SrYInCl6 crystal (PBE-GGA).

- ΔE_f (raw): -46.88 kcal/mol of atoms
- D(E_F): 0.0 states/eV/f.u.
- Energy: -4.47 eV per atom
- Density: 2.67 Mg/m³
- Symmetry: P-31c, No. 163
- M_tot: 0.0 μB per formula unit

CIF file:
```
data_SrYInCl6
_cell_length_a 7.366
_cell_length_b 7.366
_cell_length_c 13.368
_cell_angle_alpha 90.00
_cell_angle_beta 90.00
_cell_angle_gamma 120.00
_space_group_name_H-M_alt 'P 1'
_space_group_IT_number 1
_space_group_name_Hall 'P 1'
loop_
_atom_site_label
_atom_site_type_symbol
_atom_site_fract_x
_atom_site_fract_y
_atom_site_fract_z
In1 In 0.000 0.000 0.000
In2 In 0.000 0.000 0.500
Cl1 Cl 0.380 0.026 0.137
Cl2 Cl 0.620 0.646 0.637
Cl3 Cl 0.646 0.026 0.363
Cl4 Cl 0.620 0.974 0.863
Cl5 Cl 0.380 0.354 0.363
Cl6 Cl 0.026 0.380 0.637
Cl7 Cl 0.354 0.974 0.637
Cl8 Cl 0.026 0.646 0.863
Cl9 Cl 0.974 0.354 0.137
Cl10 Cl 0.974 0.620 0.363
Cl11 Cl 0.354 0.380 0.863
Cl12 Cl 0.646 0.620 0.137
Sr1 Sr 0.667 0.333 0.750
Sr2 Sr 0.333 0.667 0.250
Y1 Y 0.667 0.333 0.250
Y2 Y 0.333 0.667 0.750
```

[12]
Entry from the Alexandria database: a relaxed NbMo3P crystal (PBE-GGA).

- D(E_F): 7.0 states/eV/f.u.
- Energy: -7.51 eV per atom
- Density: 6.35 Mg/m³
- Symmetry: Pm-3m, No. 221
- M_tot: 1.2 μB per formula unit
- Energy of formation: 200.9 kJ per mole of atoms

CIF file:
```
data_NbMo3P
_cell_length_a 4.757
_cell_length_b 4.757
_cell_length_c 4.757
_cell_angle_alpha 90.00
_cell_angle_beta 90.00
_cell_angle_gamma 90.00
_space_group_name_H-M_alt 'P 1'
_space_group_IT_number 1
_space_group_name_Hall 'P 1'
loop_
_atom_site_label
_atom_site_type_symbol
_atom_site_fract_x
_atom_site_fract_y
_atom_site_fract_z
Mo1 Mo 0.500 0.000 0.000
Mo2 Mo 0.000 0.500 0.000
Mo3 Mo 0.000 0.000 0.500
P1 P 0.500 0.500 0.500
Nb1 Nb 0.000 0.000 0.000
```